Ho2ScNbO7 | SCAN | single point on PBEsol structure

Lattice parameters (Å, degrees): 7.1774 7.3703 10.2668 90.00 90.00 90.00
Space group Imma (No. 74)
Asymmetric unit:
1 Ho 0.0000 0.0000 0.0000
2 Ho 0.2500 0.2500 0.2500
3 Sc 0.2500 0.2500 0.7500
4 Nb 0.0000 0.0000 0.5000
5 O 0.0000 0.2500 0.1284
6 O 0.0000 0.2500 0.4244
7 O 0.0000 0.2500 0.8515
8 O 0.2070 0.0281 0.6260

Computed properties:
As for the density of states at the Fermi level: 0.000 states/eV per atom. The size of the total moment is 0.0 μB/f.u. The raw formation energy comes out at -3.57 eV per atom.

Nd3Ho | SCAN | single point on PBEsol structure

Lattice parameters (Å, degrees): 7.1818 7.1818 5.7717 90.00 90.00 120.00
Space group P6_3/mmc (No. 194)
Asymmetric unit:
1 Nd 0.1671 0.3342 0.2500
2 Ho 0.3333 0.6667 0.7500

Computed properties:
For the energy above the most stable polymorph in this dataset, the calculation gives 13 meV per atom. As for the density of states at the Fermi level: 1.512 states/eV per atom. The size of the total moment is 0.0 μB/f.u. The calculation puts the energy of formation at 0.11 eV per formula unit.

Nd3Ho | SCAN | single point on PBEsol structure

Lattice parameters (Å, degrees): 7.1311 7.1304 6.1568 90.00 125.26 90.00
Space group C2/m (No. 12)
Asymmetric unit:
1 Nd 0.0000 0.0000 0.0000
2 Nd 0.0000 0.2499 0.5000
3 Ho 0.0000 0.5000 0.0000

Computed properties:
For the energy above the most stable polymorph in this dataset, the calculation gives 3 meV per atom. As for the density of states at the Fermi level: 1.335 states/eV per atom. The size of the total moment is 0.0 μB/f.u. The calculation puts the energy of formation at 0.07 eV per formula unit.

Nd3Ho | SCAN | single point on PBEsol structure

Lattice parameters (Å, degrees): 5.0351 5.0351 5.0351 90.00 90.00 90.00
Space group Pm-3m (No. 221)
Asymmetric unit:
1 Nd 0.0000 0.0000 0.5000
2 Ho 0.5000 0.5000 0.5000

Computed properties:
For the energy above the most stable polymorph in this dataset, the calculation gives 0 meV per atom. As for the density of states at the Fermi level: 1.272 states/eV per atom. The size of the total moment is 0.0 μB/f.u. The calculation puts the energy of formation at 0.06 eV per formula unit.

NdHoZr2O7 | SCAN | single point on PBEsol structure

Lattice parameters (Å, degrees): 7.4355 7.4390 10.5287 90.00 90.00 90.00
Space group Imma (No. 74)
Asymmetric unit:
1 Nd 0.2500 0.2500 0.2500
2 Ho 0.0000 0.0000 0.0000
3 Zr 0.0000 0.0000 0.5000
4 Zr 0.2500 0.2500 0.7500
5 O 0.0000 0.2500 0.1154
6 O 0.0000 0.2500 0.4113
7 O 0.0000 0.2500 0.8381
8 O 0.2157 0.0377 0.6234

Computed properties:
As for the density of states at the Fermi level: 0.000 states/eV per atom. The size of the total moment is 0.0 μB/f.u. The raw formation energy comes out at -3.81 eV per atom.

Ho3Ni2 | SCAN | single point on PBEsol structure

Lattice parameters (Å, degrees): 8.3662 8.3662 15.3961 90.00 90.00 120.00
Space group R-3 (No. 148, hexagonal axes)
Asymmetric unit:
1 Ho 0.0000 0.0000 0.0000
2 Ho 0.0000 0.0000 0.2069
3 Ho 0.0204 0.7641 0.5928
4 Ni 0.0230 0.4196 0.5641

Computed properties:
For the energy above the most stable polymorph in this dataset, the calculation gives 18 meV per atom. As for the density of states at the Fermi level: 0.895 states/eV per atom. The size of the total moment is 0.0 μB/f.u. The calculation puts the energy of formation at -1.93 eV per formula unit.

HoNi5 | SCAN | single point on PBEsol structure

Lattice parameters (Å, degrees): 4.7788 4.7788 3.9004 90.00 90.00 120.00
Space group P6/mmm (No. 191)
Asymmetric unit:
1 Ho 0.0000 0.0000 0.0000
2 Ni 0.0000 0.5000 0.5000
3 Ni 0.3333 0.6667 0.0000

Computed properties:
As for the density of states at the Fermi level: 0.644 states/eV per atom. The size of the total moment is 2.0 μB/f.u. The calculation puts the energy of formation at -1.96 eV per formula unit.

Ho3Ni2 | SCAN | single point on PBEsol structure

Lattice parameters (Å, degrees): 13.0394 3.5694 9.3045 90.00 105.40 90.00
Space group C2/m (No. 12)
Asymmetric unit:
1 Ho 0.0970 0.0000 0.1730
2 Ho 0.1318 0.5000 0.4977
3 Ho 0.1443 0.5000 0.8680
4 Ni 0.0346 0.0000 0.6449
5 Ni 0.2438 0.0000 0.7272

Computed properties:
For the energy above the most stable polymorph in this dataset, the calculation gives 0 meV per atom. As for the density of states at the Fermi level: 0.790 states/eV per atom. The size of the total moment is 0.0 μB/f.u. The calculation puts the energy of formation at -2.02 eV per formula unit.

HoNiO3 | SCAN | single point on PBEsol structure

Lattice parameters (Å, degrees): 5.5026 7.2608 5.0914 90.00 90.00 90.00
Space group Pnma (No. 62)
Asymmetric unit:
1 Ho 0.0791 0.2500 0.0226
2 Ni 0.0000 0.0000 0.5000
3 O 0.0286 0.7500 0.3977
4 O 0.1966 0.5497 0.8083

Computed properties:
As for the density of states at the Fermi level: 0.128 states/eV per atom. The size of the total moment is 1.0 μB/f.u. The raw formation energy comes out at -2.63 eV per atom.

HoNi4P2 | SCAN | single point on PBEsol structure

Lattice parameters (Å, degrees): 6.9752 6.9752 3.5625 90.00 90.00 90.00
Space group P4_2/mnm (No. 136)
Asymmetric unit:
1 Ho 0.0000 0.0000 0.0000
2 Ni 0.0848 0.3370 0.5000
3 P 0.2203 0.7797 0.5000

Computed properties:
As for the density of states at the Fermi level: 0.671 states/eV per atom. The size of the total moment is 0.0 μB/f.u. The calculation puts the energy of formation at -6.04 eV per formula unit.

Ho5Ni19P12 | SCAN | single point on PBEsol structure

Lattice parameters (Å, degrees): 11.9087 11.9087 3.6818 90.00 90.00 120.00
Space group P-62m (No. 189)
Asymmetric unit:
1 Ho 0.0000 0.8121 0.0000
2 Ho 0.3333 0.6667 0.5000
3 Ni 0.0000 0.0000 0.5000
4 Ni 0.0000 0.2840 0.0000
5 Ni 0.0000 0.4462 0.5000
6 Ni 0.1249 0.6400 0.0000
7 Ni 0.1826 0.3800 0.5000
8 P 0.0000 0.1780 0.5000
9 P 0.0000 0.6324 0.5000
10 P 0.1661 0.4793 0.0000

Computed properties:
As for the density of states at the Fermi level: 0.595 states/eV per atom. The size of the total moment is 0.0 μB/f.u. The calculation puts the energy of formation at -33.05 eV per formula unit.

Ho5NiPb3 | SCAN | single point on PBEsol structure

Lattice parameters (Å, degrees): 8.9948 8.9948 6.5392 90.00 90.00 120.00
Space group P6_3/mcm (No. 193)
Asymmetric unit:
1 Ho 0.0000 0.2391 0.2500
2 Ho 0.3333 0.6667 0.0000
3 Ni 0.0000 0.0000 0.0000
4 Pb 0.0000 0.3992 0.7500

Computed properties:
As for the density of states at the Fermi level: 0.591 states/eV per atom. The size of the total moment is 0.0 μB/f.u. The calculation puts the energy of formation at -6.42 eV per formula unit.

What did the third record say?
Nd3Ho | SCAN | single point on PBEsol structure

Lattice parameters (Å, degrees): 7.1311 7.1304 6.1568 90.00 125.26 90.00
Space group C2/m (No. 12)
Asymmetric unit:
1 Nd 0.0000 0.0000 0.0000
2 Nd 0.0000 0.2499 0.5000
3 Ho 0.0000 0.5000 0.0000

Computed properties:
For the energy above the most stable polymorph in this dataset, the calculation gives 3 meV per atom. As for the density of states at the Fermi level: 1.335 states/eV per atom. The size of the total moment is 0.0 μB/f.u. The calculation puts the energy of formation at 0.07 eV per formula unit.